The following is a DFT calculation (GGA-PBE) of Sb2PIr after structural relaxation.

Unit cell a=4.198 b=4.198 c=6.569 alpha=79.57 beta=79.57 gamma=52.59
Element x y z (fractional)
Ir 0.504 0.504 0.577
Sb 0.963 0.963 0.945
P 0.799 0.799 0.651
Sb 0.233 0.233 0.326

Computed properties:
- E_form (uncorrected) (eV/atom) = 0.010
- calculated total energy (eV for the cell shown) = -22.48
- symmetry = Cm, No. 8
- size of the total moment (μB/cell) = 0.0